(1)
A plane-wave DFT calculation with PBE was carried out for a relaxed structure of Gd2MgPt.

Cell: 3.9665 3.9665 25.7133 Å, 90.00 90.00 120.00°
Closest atoms and distances in Å follow each position.
Fractional positions:
Gd 0.0000 0.0000 0.2314  3 Pt 2.83
Gd 0.0000 0.0000 0.7686  3 Pt 2.83
Gd 0.3333 0.6667 0.4353  3 Pt 2.83
Gd 0.3333 0.6667 0.8980  3 Pt 2.83
Gd 0.6667 0.3333 0.1020  3 Pt 2.83
Gd 0.6667 0.3333 0.5647  3 Pt 2.83
Mg 0.0000 0.0000 0.0000  6 Gd 3.48
Mg 0.3333 0.6667 0.6667  6 Gd 3.48
Mg 0.6667 0.3333 0.3333  6 Gd 3.48
Pt 0.0000 0.0000 0.5000  6 Gd 2.83
Pt 0.3333 0.6667 0.1667  6 Gd 2.83
Pt 0.6667 0.3333 0.8333  6 Gd 2.83

Results
The density of states at the Fermi level comes out at 13.5 states/eV per cell. The value obtained for the formation energy from the elements is -0.531 eV/atom. As for the excess energy over the best structure of this formula in the dataset: 116 meV/atom. The calculation puts the electronic total energy at -0.697 Ry per atom.

(2)
A plane-wave DFT calculation with PBE was carried out for a relaxed structure of GdMgPt.

Cell: 7.4386 7.4386 4.1056 Å, 90.00 90.00 120.00°
Closest atoms and distances in Å follow each position.
Fractional positions:
Gd 0.0000 0.4105 0.0000  5 Pt 3.04-3.05, 6 Mg 3.29-3.36
Gd 0.4105 0.0000 0.0000  5 Pt 3.04-3.05, 6 Mg 3.29-3.36
Gd 0.5895 0.5895 0.0000  5 Pt 3.04-3.05, 6 Mg 3.29-3.36
Mg 0.0000 0.7556 0.5000  4 Pt 2.74-2.87
Mg 0.2444 0.2444 0.5000  4 Pt 2.74-2.87
Mg 0.7556 0.0000 0.5000  4 Pt 2.74-2.87
Pt 0.0000 0.0000 0.0000  6 Mg 2.74, 3 Gd 3.05
Pt 0.3333 0.6667 0.5000  3 Mg 2.87, 6 Gd 3.04
Pt 0.6667 0.3333 0.5000  3 Mg 2.87, 6 Gd 3.04

Results
The density of states at the Fermi level comes out at 6.6 states/eV per cell. The value obtained for the formation energy from the elements is -0.952 eV/atom. The calculation puts the electronic total energy at -0.602 Ry per atom.

(3)
A plane-wave DFT calculation with PBE was carried out for a relaxed structure of GdMgPt.

Cell: 3.4810 3.4810 10.9661 Å, 90.00 90.00 90.00°
Closest atoms and distances in Å follow each position.
Fractional positions:
Gd 0.0000 0.0000 0.0000  4 Pt 2.97, 1 Mg 3.08
Gd 0.5000 0.5000 0.5000  4 Pt 2.97, 1 Mg 3.08
Mg 0.0000 0.0000 0.7191  4 Pt 2.84, 1 Gd 3.08
Mg 0.5000 0.5000 0.2191  4 Pt 2.84, 1 Gd 3.08
Pt 0.0000 0.0000 0.3484  4 Mg 2.84, 4 Gd 2.97
Pt 0.5000 0.5000 0.8484  4 Mg 2.84, 4 Gd 2.97

Results
The density of states at the Fermi level comes out at 3.3 states/eV per cell. The value obtained for the formation energy from the elements is -0.727 eV/atom. The calculation puts the electronic total energy at -0.585 Ry per atom.

(4)
A plane-wave DFT calculation with PBE was carried out for a relaxed structure of GdMgPt2.

Cell: 3.3847 3.3847 6.6469 Å, 90.00 90.00 90.00°
Closest atoms and distances in Å follow each position.
Fractional positions:
Gd 0.0000 0.0000 0.0000  8 Pt 3.02, 2 Mg 3.32
Mg 0.0000 0.0000 0.5000  8 Pt 2.82
Pt 0.5000 0.5000 0.2761  4 Mg 2.82, 1 Pt 2.98, 4 Gd 3.02
Pt 0.5000 0.5000 0.7239  4 Mg 2.82, 1 Pt 2.98, 4 Gd 3.02

Results
The density of states at the Fermi level comes out at 0.9 states/eV per cell. The value obtained for the formation energy from the elements is -0.998 eV/atom. The calculation puts the electronic total energy at -0.583 Ry per atom.

(5)
A plane-wave DFT calculation with PBE was carried out for a relaxed structure of GdMgPt.

Cell: 4.5583 4.5583 3.7320 Å, 90.00 90.00 120.00°
Closest atoms and distances in Å follow each position.
Fractional positions:
Gd 0.0000 0.0000 0.0000  6 Mg 3.23, 6 Pt 3.23
Mg 0.6667 0.3333 0.5000  3 Pt 2.63
Pt 0.3333 0.6667 0.5000  3 Mg 2.63

Results
The density of states at the Fermi level comes out at 2.7 states/eV per cell. The value obtained for the formation energy from the elements is -0.717 eV/atom. The calculation puts the electronic total energy at -0.585 Ry per atom.

(6)
A plane-wave DFT calculation with PBE was carried out for a relaxed structure of Gd2MgPt.

Cell: 7.2630 7.2630 7.2630 Å, 90.00 90.00 90.00°
Closest atoms and distances in Å follow each position.
Fractional positions:
Gd 0.2500 0.2500 0.2500  4 Mg 3.14, 4 Pt 3.14
Gd 0.2500 0.2500 0.7500  4 Mg 3.14, 4 Pt 3.14
Gd 0.2500 0.7500 0.2500  4 Mg 3.14, 4 Pt 3.14
Gd 0.2500 0.7500 0.7500  4 Mg 3.14, 4 Pt 3.14
Gd 0.7500 0.2500 0.2500  4 Mg 3.14, 4 Pt 3.14
Gd 0.7500 0.2500 0.7500  4 Mg 3.14, 4 Pt 3.14
Gd 0.7500 0.7500 0.2500  4 Mg 3.14, 4 Pt 3.14
Gd 0.7500 0.7500 0.7500  4 Mg 3.14, 4 Pt 3.14
Mg 0.0000 0.0000 0.0000  8 Gd 3.14
Mg 0.0000 0.5000 0.5000  8 Gd 3.14
Mg 0.5000 0.0000 0.5000  8 Gd 3.14
Mg 0.5000 0.5000 0.0000  8 Gd 3.14
Pt 0.0000 0.0000 0.5000  8 Gd 3.14
Pt 0.0000 0.5000 0.0000  8 Gd 3.14
Pt 0.5000 0.0000 0.0000  8 Gd 3.14
Pt 0.5000 0.5000 0.5000  8 Gd 3.14

Results
The density of states at the Fermi level comes out at 14.1 states/eV per cell. The value obtained for the formation energy from the elements is -0.568 eV/atom. As for the excess energy over the best structure of this formula in the dataset: 80 meV/atom. The calculation puts the electronic total energy at -0.700 Ry per atom.

(7)
A plane-wave DFT calculation with PBE was carried out for a relaxed structure of GdMgPt.

Cell: 6.6777 6.6777 6.6777 Å, 90.00 90.00 90.00°
Closest atoms and distances in Å follow each position.
Fractional positions:
Gd 0.0000 0.0000 0.0000  4 Pt 2.89
Gd 0.0000 0.5000 0.5000  4 Pt 2.89
Gd 0.5000 0.0000 0.5000  4 Pt 2.89
Gd 0.5000 0.5000 0.0000  4 Pt 2.89
Mg 0.0000 0.0000 0.5000  4 Pt 2.89
Mg 0.0000 0.5000 0.0000  4 Pt 2.89
Mg 0.5000 0.0000 0.0000  4 Pt 2.89
Mg 0.5000 0.5000 0.5000  4 Pt 2.89
Pt 0.2500 0.2500 0.2500  4 Gd 2.89, 4 Mg 2.89
Pt 0.2500 0.7500 0.7500  4 Gd 2.89, 4 Mg 2.89
Pt 0.7500 0.2500 0.7500  4 Gd 2.89, 4 Mg 2.89
Pt 0.7500 0.7500 0.2500  4 Gd 2.89, 4 Mg 2.89

Results
The density of states at the Fermi level comes out at 7.9 states/eV per cell. The value obtained for the formation energy from the elements is -0.812 eV/atom. The calculation puts the electronic total energy at -0.592 Ry per atom.

(8)
A plane-wave DFT calculation with PBE was carried out for a relaxed structure of TbGdMgPt.

Cell: 7.2421 7.2421 7.2421 Å, 90.00 90.00 90.00°
Closest atoms and distances in Å follow each position.
Fractional positions:
Tb 0.0000 0.0000 0.0000  4 Pt 3.14, 4 Mg 3.14
Tb 0.0000 0.5000 0.5000  4 Pt 3.14, 4 Mg 3.14
Tb 0.5000 0.0000 0.5000  4 Pt 3.14, 4 Mg 3.14
Tb 0.5000 0.5000 0.0000  4 Pt 3.14, 4 Mg 3.14
Gd 0.0000 0.0000 0.5000  4 Mg 3.14, 4 Pt 3.14
Gd 0.0000 0.5000 0.0000  4 Mg 3.14, 4 Pt 3.14
Gd 0.5000 0.0000 0.0000  4 Mg 3.14, 4 Pt 3.14
Gd 0.5000 0.5000 0.5000  4 Mg 3.14, 4 Pt 3.14
Mg 0.2500 0.2500 0.2500  4 Tb 3.14, 4 Gd 3.14
Mg 0.2500 0.7500 0.7500  4 Tb 3.14, 4 Gd 3.14
Mg 0.7500 0.2500 0.7500  4 Tb 3.14, 4 Gd 3.14
Mg 0.7500 0.7500 0.2500  4 Tb 3.14, 4 Gd 3.14
Pt 0.2500 0.2500 0.7500  4 Gd 3.14, 4 Tb 3.14
Pt 0.2500 0.7500 0.2500  4 Gd 3.14, 4 Tb 3.14
Pt 0.7500 0.2500 0.2500  4 Gd 3.14, 4 Tb 3.14
Pt 0.7500 0.7500 0.7500  4 Gd 3.14, 4 Tb 3.14

Results
The density of states at the Fermi level comes out at 12.0 states/eV per cell. The value obtained for the formation energy from the elements is -0.576 eV/atom. The calculation puts the electronic total energy at -0.526 Ry per atom.